DFT (PBE) results for crystalline Dy6TeP2S3 at its relaxed geometry.

Computed properties:
Crystal system: monoclinic
Final energy: -75.28 eV per cell
Space group: C2/m

Unit cell a=8.964 b=8.964 c=8.091 alpha=102.23 beta=102.23 gamma=25.81
Element x y z (fractional)
Dy  0.006  0.006  0.281
Dy  0.323  0.323  0.897
Dy  0.331  0.331  0.422
Dy  0.669  0.669  0.578
Dy  0.677  0.677  0.103
Dy  0.994  0.994  0.719
Te  0.500  0.500  0.000
P  0.168  0.168  0.335
P  0.832  0.832  0.665
S  0.162  0.162  0.835
S  0.500  0.500  0.500
S  0.838  0.838  0.165

***

DFT (PBE) results for crystalline Dy8Te4P3S at its relaxed geometry.

Computed properties:
Crystal system: trigonal
Final energy: -95.15 eV per cell
Space group: R-3m

Unit cell a=8.496 b=8.496 c=8.496 alpha=57.64 beta=57.64 gamma=57.64
Element x y z (fractional)
Dy  0.232  0.738  0.738
Dy  0.236  0.236  0.236
Dy  0.262  0.262  0.768
Dy  0.262  0.768  0.262
Dy  0.738  0.232  0.738
Dy  0.738  0.738  0.232
Dy  0.764  0.764  0.764
Dy  0.768  0.262  0.262
Te  0.000  0.000  0.000
Te  0.000  0.500  0.500
Te  0.500  0.000  0.500
Te  0.500  0.500  0.000
P  0.000  0.000  0.500
P  0.000  0.500  0.000
P  0.500  0.000  0.000
S  0.500  0.500  0.500

***

DFT (PBE) results for crystalline Dy4Te2PS at its relaxed geometry.

Computed properties:
Crystal system: monoclinic
Final energy: -47.18 eV per cell
Space group: P2/m

Unit cell a=7.069 b=4.092 c=7.416 alpha=90.00 beta=108.61 gamma=90.00
Element x y z (fractional)
Dy  0.232  0.000  0.207
Dy  0.262  0.500  0.794
Dy  0.738  0.500  0.206
Dy  0.768  0.000  0.793
Te  0.000  0.000  0.500
Te  0.500  0.500  0.500
P  0.000  0.500  0.000
S  0.500  0.000  0.000

***

DFT (PBE) results for crystalline DyTlP2S8 at its relaxed geometry.

Computed properties:
Crystal system: trigonal
Final energy: -56.11 eV per cell
Space group: R-3

Unit cell a=9.800 b=9.800 c=9.800 alpha=36.71 beta=36.71 gamma=36.71
Element x y z (fractional)
Dy  0.000  0.000  0.000
Tl  0.500  0.500  0.500
P  0.254  0.254  0.254
P  0.746  0.746  0.746
S  0.061  0.687  0.426
S  0.180  0.180  0.180
S  0.313  0.574  0.939
S  0.426  0.061  0.687
S  0.574  0.939  0.313
S  0.687  0.426  0.061
S  0.820  0.820  0.820
S  0.939  0.313  0.574

***

DFT (PBE) results for crystalline Dy8Tl4PS3 at its relaxed geometry.

Computed properties:
Crystal system: trigonal
Final energy: -82.24 eV per cell
Space group: R-3m

Unit cell a=9.078 b=9.078 c=9.078 alpha=50.27 beta=50.27 gamma=50.27
Element x y z (fractional)
Dy  0.234  0.234  0.234
Dy  0.236  0.733  0.733
Dy  0.267  0.267  0.764
Dy  0.267  0.764  0.267
Dy  0.733  0.236  0.733
Dy  0.733  0.733  0.236
Dy  0.764  0.267  0.267
Dy  0.766  0.766  0.766
Tl  0.000  0.000  0.000
Tl  0.000  0.500  0.500
Tl  0.500  0.000  0.500
Tl  0.500  0.500  0.000
P  0.500  0.500  0.500
S  0.000  0.000  0.500
S  0.000  0.500  0.000
S  0.500  0.000  0.000

***

DFT (PBE) results for crystalline Dy8Tl3PS3 at its relaxed geometry.

Computed properties:
Crystal system: monoclinic
Final energy: -78.33 eV per cell
Space group: C2/m

Unit cell a=7.727 b=7.727 c=8.892 alpha=115.70 beta=115.70 gamma=60.07
Element x y z (fractional)
Dy  0.235  0.235  0.706
Dy  0.235  0.736  0.706
Dy  0.264  0.765  0.294
Dy  0.265  0.265  0.296
Dy  0.735  0.735  0.704
Dy  0.736  0.235  0.706
Dy  0.765  0.264  0.294
Dy  0.765  0.765  0.294
Tl  0.000  0.000  0.000
Tl  0.000  0.500  0.000
Tl  0.500  0.000  0.000
P  0.000  0.000  0.500
S  0.000  0.500  0.500
S  0.500  0.000  0.500
S  0.500  0.500  0.500

***

DFT (PBE) results for crystalline Dy6TlP2S3 at its relaxed geometry.

Computed properties:
Crystal system: monoclinic
Final energy: -71.99 eV per cell
Space group: C2/m

Unit cell a=9.006 b=9.006 c=8.164 alpha=102.77 beta=102.77 gamma=25.51
Element x y z (fractional)
Dy  0.002  0.002  0.272
Dy  0.327  0.327  0.904
Dy  0.330  0.330  0.422
Dy  0.670  0.670  0.578
Dy  0.673  0.673  0.096
Dy  0.998  0.998  0.728
Tl  0.500  0.500  0.000
P  0.168  0.168  0.336
P  0.832  0.832  0.664
S  0.167  0.167  0.831
S  0.500  0.500  0.500
S  0.833  0.833  0.169

***

DFT (PBE) results for crystalline Dy6TlP3S2 at its relaxed geometry.

Computed properties:
Crystal system: monoclinic
Final energy: -72.65 eV per cell
Space group: C2/m

Unit cell a=9.024 b=9.024 c=8.185 alpha=102.54 beta=102.54 gamma=25.52
Element x y z (fractional)
Dy  0.002  0.002  0.274
Dy  0.325  0.325  0.914
Dy  0.335  0.335  0.409
Dy  0.665  0.665  0.591
Dy  0.675  0.675  0.086
Dy  0.998  0.998  0.726
Tl  0.500  0.500  0.000
P  0.166  0.166  0.833
P  0.500  0.500  0.500
P  0.834  0.834  0.167
S  0.170  0.170  0.342
S  0.830  0.830  0.658

***

DFT (PBE) results for crystalline Dy4Tl2PS at its relaxed geometry.

Computed properties:
Crystal system: monoclinic
Final energy: -41.38 eV per cell
Space group: P2/m

Unit cell a=6.703 b=3.882 c=8.225 alpha=90.00 beta=105.89 gamma=90.00
Element x y z (fractional)
Dy  0.232  0.000  0.202
Dy  0.263  0.500  0.797
Dy  0.737  0.500  0.203
Dy  0.768  0.000  0.798
Tl  0.000  0.000  0.500
Tl  0.500  0.500  0.500
P  0.000  0.500  0.000
S  0.500  0.000  0.000

***

DFT (PBE) results for crystalline Dy2SbP at its relaxed geometry.

Computed properties:
Crystal system: trigonal
Final energy: -23.71 eV per cell
Space group: R3m

Unit cell a=7.571 b=7.571 c=7.571 alpha=31.54 beta=31.54 gamma=31.54
Element x y z (fractional)
Dy  0.000  0.000  0.000
Dy  0.187  0.187  0.187
Sb  0.426  0.426  0.426
P  0.595  0.595  0.595

***

DFT (PBE) results for crystalline Dy3SbP2 at its relaxed geometry.

Computed properties:
Crystal system: orthorhombic
Final energy: -69.60 eV per cell
Space group: Cmcm

Unit cell a=6.625 b=6.625 c=9.731 alpha=90.00 beta=90.00 gamma=136.31
Element x y z (fractional)
Dy  0.096  0.904  0.750
Dy  0.374  0.626  0.550
Dy  0.374  0.626  0.950
Dy  0.626  0.374  0.050
Dy  0.626  0.374  0.450
Dy  0.904  0.096  0.250
Sb  0.224  0.776  0.250
Sb  0.776  0.224  0.750
P  0.000  0.000  0.000
P  0.000  0.000  0.500
P  0.470  0.530  0.250
P  0.530  0.470  0.750

***

DFT (PBE) results for crystalline Dy2SbP at its relaxed geometry.

Computed properties:
Crystal system: trigonal
Final energy: -24.10 eV per cell
Space group: R-3m

Unit cell a=7.369 b=7.369 c=7.369 alpha=32.73 beta=32.73 gamma=32.73
Element x y z (fractional)
Dy  0.241  0.241  0.241
Dy  0.759  0.759  0.759
Sb  0.000  0.000  0.000
P  0.500  0.500  0.500

***

DFT (PBE) results for crystalline Dy5Sb4P at its relaxed geometry.

Computed properties:
Offset from the most stable computed form: 0.0060 eV/atom
Crystal system: tetragonal
Final energy: -56.78 eV per cell
Space group: I4/mmm

Unit cell a=15.529 b=15.529 c=15.529 alpha=164.01 beta=164.01 gamma=22.69
Element x y z (fractional)
Dy  0.000  0.000  0.000
Dy  0.201  0.201  0.000
Dy  0.408  0.408  0.000
Dy  0.592  0.592  0.000
Dy  0.799  0.799  0.000
Sb  0.099  0.099  0.000
Sb  0.303  0.303  0.000
Sb  0.697  0.697  0.000
Sb  0.901  0.901  0.000
P  0.500  0.500  0.000

***

DFT (PBE) results for crystalline Dy6SbP4 at its relaxed geometry.

Computed properties:
Crystal system: orthorhombic
Final energy: -138.04 eV per cell
Space group: Cmcm

Unit cell a=6.903 b=6.903 c=20.343 alpha=90.00 beta=90.00 gamma=145.80
Element x y z (fractional)
Dy  0.000  0.000  0.000
Dy  0.000  0.000  0.500
Dy  0.164  0.836  0.750
Dy  0.272  0.728  0.081
Dy  0.272  0.728  0.419
Dy  0.461  0.539  0.659
Dy  0.461  0.539  0.841
Dy  0.539  0.461  0.159
Dy  0.539  0.461  0.341
Dy  0.728  0.272  0.581
Dy  0.728  0.272  0.919
Dy  0.836  0.164  0.250
Sb  0.162  0.838  0.250
Sb  0.838  0.162  0.750
P  0.094  0.906  0.624
P  0.094  0.906  0.876
P  0.363  0.637  0.542
P  0.363  0.637  0.958
P  0.637  0.363  0.042
P  0.637  0.363  0.458
P  0.906  0.094  0.124
P  0.906  0.094  0.376

***

DFT (PBE) results for crystalline DySbP at its relaxed geometry.

Computed properties:
Crystal system: tetragonal
Final energy: -32.99 eV per cell
Space group: I4/mmm

Unit cell a=11.260 b=11.260 c=11.260 alpha=160.12 beta=160.12 gamma=28.26
Element x y z (fractional)
Dy  0.174  0.174  0.000
Dy  0.826  0.826  0.000
Sb  0.422  0.422  0.000
Sb  0.578  0.578  0.000
P  0.305  0.305  0.000
P  0.695  0.695  0.000

***

DFT (PBE) results for crystalline Dy5Sb4P at its relaxed geometry.

Computed properties:
Offset from the most stable computed form: 0.0000 eV/atom
Crystal system: tetragonal
Final energy: -56.84 eV per cell
Space group: I4/m

Unit cell a=7.466 b=7.466 c=7.466 alpha=99.66 beta=99.66 gamma=131.63
Element x y z (fractional)
Dy  0.000  0.000  0.000
Dy  0.217  0.403  0.620
Dy  0.403  0.783  0.185
Dy  0.597  0.217  0.815
Dy  0.783  0.597  0.380
Sb  0.094  0.697  0.791
Sb  0.303  0.094  0.397
Sb  0.697  0.906  0.603
Sb  0.906  0.303  0.209
P  0.500  0.500  0.000

***

DFT (PBE) results for crystalline Dy6SbP5 at its relaxed geometry.

Computed properties:
Crystal system: monoclinic
Final energy: -76.79 eV per cell
Space group: C2/m

Unit cell a=7.055 b=7.055 c=7.042 alpha=99.63 beta=99.63 gamma=119.95
Element x y z (fractional)
Dy  0.065  0.414  0.743
Dy  0.237  0.237  0.257
Dy  0.414  0.065  0.743
Dy  0.586  0.935  0.257
Dy  0.763  0.763  0.743
Dy  0.935  0.586  0.257
Sb  0.500  0.500  0.000
P  0.000  0.000  0.500
P  0.167  0.833  0.000
P  0.337  0.663  0.500
P  0.663  0.337  0.500
P  0.833  0.167  0.000

***

DFT (PBE) results for crystalline Dy6Sb3PSe2 at its relaxed geometry.

Computed properties:
Crystal system: monoclinic
Final energy: -69.53 eV per cell
Space group: C2/m

Unit cell a=9.458 b=9.458 c=8.456 alpha=103.03 beta=103.03 gamma=25.74
Element x y z (fractional)
Dy  0.000  0.000  0.230
Dy  0.000  0.000  0.770
Dy  0.333  0.333  0.421
Dy  0.343  0.343  0.915
Dy  0.657  0.657  0.085
Dy  0.667  0.667  0.579
Sb  0.170  0.170  0.835
Sb  0.500  0.500  0.500
Sb  0.830  0.830  0.165
P  0.500  0.500  0.000
Se  0.166  0.166  0.335
Se  0.834  0.834  0.665

***

DFT (PBE) results for crystalline Dy6SbP3Se2 at its relaxed geometry.

Computed properties:
Crystal system: monoclinic
Final energy: -74.58 eV per cell
Space group: C2/m

Unit cell a=9.194 b=9.194 c=8.246 alpha=103.87 beta=103.87 gamma=25.60
Element x y z (fractional)
Dy  0.004  0.004  0.234
Dy  0.327  0.327  0.427
Dy  0.338  0.338  0.905
Dy  0.662  0.662  0.095
Dy  0.673  0.673  0.573
Dy  0.996  0.996  0.766
Sb  0.500  0.500  0.500
P  0.167  0.167  0.331
P  0.500  0.500  0.000
P  0.833  0.833  0.669
Se  0.168  0.168  0.836
Se  0.832  0.832  0.164

***

DFT (PBE) results for crystalline Dy6SbP2Se3 at its relaxed geometry.

Computed properties:
Crystal system: monoclinic
Final energy: -72.85 eV per cell
Space group: C2/m

Unit cell a=9.211 b=9.211 c=8.275 alpha=103.04 beta=103.04 gamma=25.66
Element x y z (fractional)
Dy  0.009  0.009  0.264
Dy  0.327  0.327  0.427
Dy  0.328  0.328  0.892
Dy  0.672  0.672  0.108
Dy  0.673  0.673  0.573
Dy  0.991  0.991  0.736
Sb  0.500  0.500  0.000
P  0.168  0.168  0.337
P  0.832  0.832  0.663
Se  0.163  0.163  0.834
Se  0.500  0.500  0.500
Se  0.837  0.837  0.166

***

Number 1: formation energy (no corrections) -1.7773 eV/atom. Number 2: formation energy (no corrections) -1.5879 eV/atom. Number 3: formation energy (no corrections) -1.6183 eV/atom. Number 4: formation energy (no corrections) -0.4419 eV/atom. Number 5: formation energy (no corrections) -1.1354 eV/atom. Number 6: formation energy (no corrections) -1.1080 eV/atom. Number 7: formation energy (no corrections) -1.5677 eV/atom. Number 8: formation energy (no corrections) -1.5157 eV/atom. Number 9: formation energy (no corrections) -1.0872 eV/atom. Number 10: formation energy (no corrections) -1.2427 eV/atom. Number 11: formation energy (no corrections) -1.0090 eV/atom. Number 12: formation energy (no corrections) -1.3405 eV/atom. Number 13: formation energy (no corrections) -1.1868 eV/atom. Number 14: formation energy (no corrections) -1.4224 eV/atom. Number 15: formation energy (no corrections) -0.7870 eV/atom. Number 16: formation energy (no corrections) -1.1928 eV/atom. Number 17: formation energy (no corrections) -1.5006 eV/atom. Number 18: formation energy (no corrections) -1.4307 eV/atom. Number 19: formation energy (no corrections) -1.6372 eV/atom. Number 20: formation energy (no corrections) -1.6538 eV/atom.